The following is a DFT calculation (GGA-PBE) of a geometry-optimized TbNdY2Th structure.

## Properties
symmetry: P2/c, No. 13
electronic total energy: -56.3 eV per cell

abc: 6.5138 8.5783 6.3003
angles: 97.57 90.00 90.00
Sites, in units of the cell vectors:
1 Tb 0.0000 0.0000 0.0000
2 Tb 0.0000 0.0000 0.5000
3 Nd 0.1750 0.5000 0.7500
4 Nd 0.8250 0.5000 0.2500
5 Y 0.6896 0.6906 0.7909
6 Y 0.6896 0.3094 0.7091
7 Y 0.3104 0.6906 0.2909
8 Y 0.3104 0.3094 0.2091
9 Th 0.5583 0.0000 0.2500
10 Th 0.4417 0.0000 0.7500



The following is a DFT calculation (GGA-PBE) of a geometry-optimized Pr3ZnNi3 structure.

## Properties
symmetry: Cmcm, No. 63
electronic total energy: -70.5 eV per cell
distance to the lowest polymorph of the same formula: 0 meV/atom

abc: 4.2578 5.5472 13.4409
angles: 90.00 90.00 112.57
Sites, in units of the cell vectors:
1 Pr 0.2123 0.4247 0.8960
2 Pr 0.7877 0.5753 0.1040
3 Pr 0.2123 0.4247 0.6040
4 Pr 0.7877 0.5753 0.3960
5 Pr 0.4946 0.9891 0.7500
6 Pr 0.5054 0.0109 0.2500
7 Zn 0.5000 0.0000 0.0000
8 Zn 0.5000 0.0000 0.5000
9 Ni 0.9248 0.8497 0.9123
10 Ni 0.0752 0.1503 0.0877
11 Ni 0.9248 0.8497 0.5877
12 Ni 0.0752 0.1503 0.4123
13 Ni 0.7921 0.5842 0.7500
14 Ni 0.2079 0.4158 0.2500



The following is a DFT calculation (GGA-PBE) of a geometry-optimized CdRu2Br structure.

## Properties
symmetry: I-4m2, No. 119
formation energy from raw total energies: 0.97 eV/atom
electronic total energy: -17.3 eV per cell
distance to the lowest polymorph of the same formula: 691 meV/atom

abc: 4.9509 4.9509 4.9509
angles: 129.44 129.44 74.31
Last column: magnetic moment on the atom in μB.
Sites, in units of the cell vectors:
1 Ru 0.0000 0.0000 0.0000  1.07
2 Ru 0.2500 0.7500 0.5000  1.21
3 Br 0.5000 0.5000 0.0000  0.03
4 Cd 0.7500 0.2500 0.5000  -0.01



The following is a DFT calculation (GGA-PBE) of a geometry-optimized Tb2Pm3Nd8 structure.

## Properties
symmetry: C2/m, No. 12
electronic total energy: -59.7 eV per cell
distance to the lowest polymorph of the same formula: 0 meV/atom

abc: 6.2441 8.9230 8.9230
angles: 83.82 72.89 72.89
Sites, in units of the cell vectors:
1 Tb 0.3535 0.2886 0.2886
2 Tb 0.6465 0.7114 0.7114
3 Pm 0.5000 0.0000 0.0000
4 Pm 0.0000 0.2449 0.7551
5 Pm 0.0000 0.7551 0.2449
6 Nd 0.2150 0.5557 0.5557
7 Nd 0.7850 0.4443 0.4443
8 Nd 0.9486 0.1527 0.1527
9 Nd 0.0514 0.8473 0.8473
10 Nd 0.6724 0.5716 0.0829
11 Nd 0.6724 0.0829 0.5716
12 Nd 0.3276 0.9171 0.4284
13 Nd 0.3276 0.4284 0.9171



The following is a DFT calculation (GGA-PBE) of a geometry-optimized BaRh2O4 structure.

## Properties
symmetry: I4_1/a, No. 88
formation energy from raw total energies: -1.23 eV/atom
electronic total energy: -90.1 eV per cell

abc: 6.2727 6.2727 6.8873
angles: 117.09 117.09 90.00
Last column: magnetic moment on the atom in μB.
Sites, in units of the cell vectors:
1 Ba 0.7500 0.2500 0.5000  0.00
2 Ba 0.5000 0.5000 0.0000  0.00
3 Rh 0.1250 0.8750 0.7500  0.06
4 Rh 0.6250 0.8750 0.7500  0.06
5 Rh 0.1250 0.8750 0.2500  0.06
6 Rh 0.1250 0.3750 0.2500  0.06
7 O 0.9494 0.8620 0.4211  0.01
8 O 0.1380 0.5283 0.5789  0.01
9 O 0.4410 0.0506 0.5789  0.01
10 O 0.7783 0.1910 0.0789  0.01
11 O 0.8090 0.6994 0.9211  0.01
12 O 0.1120 0.2217 0.9211  0.01
13 O 0.4717 0.5590 0.4211  0.01
14 O 0.3006 0.8880 0.0789  0.01



The following is a DFT calculation (GGA-PBE) of a geometry-optimized LiSc2TaO6 structure.

## Properties
symmetry: R3, No. 146
formation energy from raw total energies: -3.09 eV/atom
electronic total energy: -87.1 eV per cell

abc: 5.3251 5.3249 5.7244
angles: 62.29 62.28 60.00
Sites, in units of the cell vectors:
1 Li 0.7914 0.7913 0.6261
2 Sc 0.5198 0.5198 0.4408
3 Sc 0.0210 0.0211 0.9368
4 Ta 0.3164 0.3164 0.0507
5 O 0.5921 0.2389 0.2302
6 O 0.2388 0.9388 0.2302
7 O 0.9388 0.5921 0.2302
8 O 0.3991 0.7092 0.7567
9 O 0.7091 0.1350 0.7567
10 O 0.1350 0.3991 0.7567



The following is a DFT calculation (GGA-PBE) of a geometry-optimized Pm5Sc2Bi5 structure.

## Properties
symmetry: C2/m, No. 12
electronic total energy: -63.6 eV per cell

abc: 4.4864 7.7400 12.7486
angles: 111.77 90.00 106.85
Sites, in units of the cell vectors:
1 Pm 0.5000 0.0000 0.5000
2 Pm 0.6638 0.3277 0.0341
3 Pm 0.7255 0.4511 0.3448
4 Pm 0.2745 0.5489 0.6552
5 Pm 0.3362 0.6723 0.9659
6 Sc 0.0565 0.1130 0.7993
7 Sc 0.9435 0.8870 0.2007
8 Bi 0.1094 0.2188 0.4145
9 Bi 0.6835 0.3669 0.7799
10 Bi 0.3165 0.6331 0.2201
11 Bi 0.8906 0.7812 0.5855
12 Bi 0.0000 0.0000 0.0000



The following is a DFT calculation (GGA-PBE) of a geometry-optimized PmDy6 structure.

## Properties
symmetry: Im-3m, No. 229
electronic total energy: -22.5 eV per cell

abc: 6.9546 6.9546 6.9546
angles: 109.47 109.47 109.47
Sites, in units of the cell vectors:
1 Pm 0.0000 0.0000 0.0000
2 Dy 0.2500 0.7500 0.5000
3 Dy 0.5000 0.7500 0.2500
4 Dy 0.2500 0.5000 0.7500
5 Dy 0.7500 0.2500 0.5000
6 Dy 0.5000 0.2500 0.7500
7 Dy 0.7500 0.5000 0.2500



The following is a DFT calculation (GGA-PBE) of a geometry-optimized AlNiRh2 structure.

## Properties
symmetry: I-42d, No. 122
electronic total energy: -48.2 eV per cell

abc: 3.7110 3.7110 8.9751
angles: 78.07 78.07 90.00
Sites, in units of the cell vectors:
1 Ni 0.0000 0.0000 0.0000
2 Ni 0.7500 0.2500 0.5000
3 Rh 0.6372 0.1250 0.2500
4 Rh 0.1128 0.6250 0.2500
5 Rh 0.3750 0.3628 0.7500
6 Rh 0.8750 0.8872 0.7500
7 Al 0.5000 0.5000 0.0000
8 Al 0.2500 0.7500 0.5000



The following is a DFT calculation (GGA-PBE) of a geometry-optimized TaSb4Cl structure.

## Properties
symmetry: F-43m, No. 216
formation energy from raw total energies: 0.73 eV/atom
electronic total energy: -25.8 eV per cell

abc: 6.0987 6.0987 6.0987
angles: 60.00 60.00 60.00
Last column: magnetic moment on the atom in μB.
Sites, in units of the cell vectors:
1 Ta 0.7500 0.7500 0.7500  1.53
2 Sb 0.8740 0.3753 0.3753  -0.04
3 Sb 0.3753 0.3753 0.8740  -0.04
4 Sb 0.3753 0.8740 0.3753  -0.04
5 Sb 0.3753 0.3753 0.3753  -0.04
6 Cl 0.0000 0.0000 0.0000  -0.01



The following is a DFT calculation (GGA-PBE) of a geometry-optimized SmErSi2Pt5 structure.

## Properties
symmetry: P4/mmm, No. 123
formation energy from raw total energies: -1.07 eV/atom
electronic total energy: -59.9 eV per cell

abc: 4.2148 4.2148 8.9573
angles: 90.00 90.00 90.00
Sites, in units of the cell vectors:
1 Sm 0.0000 0.0000 0.5000
2 Er 0.0000 0.0000 0.0000
3 Si 0.5000 0.5000 0.1307
4 Si 0.5000 0.5000 0.8693
5 Pt 0.0000 0.5000 0.2603
6 Pt 0.5000 0.0000 0.2603
7 Pt 0.0000 0.5000 0.7397
8 Pt 0.5000 0.0000 0.7397
9 Pt 0.5000 0.5000 0.5000



The following is a DFT calculation (GGA-PBE) of a geometry-optimized TcSe2I structure.

## Properties
symmetry: Pnma, No. 62
formation energy from raw total energies: -0.08 eV/atom
electronic total energy: -76.8 eV per cell
distance to the lowest polymorph of the same formula: 128 meV/atom

abc: 9.9831 3.3673 12.7950
angles: 90.00 90.00 90.00
Sites, in units of the cell vectors:
1 I 0.2665 0.2500 0.3639
2 I 0.2335 0.7500 0.8639
3 I 0.7335 0.7500 0.6361
4 I 0.7665 0.2500 0.1361
5 Tc 0.9646 0.2500 0.5928
6 Tc 0.5354 0.7500 0.0928
7 Tc 0.0354 0.7500 0.4072
8 Tc 0.4646 0.2500 0.9072
9 Se 0.8540 0.2500 0.4193
10 Se 0.6460 0.7500 0.9193
11 Se 0.1460 0.7500 0.5807
12 Se 0.3540 0.2500 0.0807
13 Se 0.4747 0.2500 0.7183
14 Se 0.0253 0.7500 0.2183
15 Se 0.5253 0.7500 0.2817
16 Se 0.9747 0.2500 0.7817



The following is a DFT calculation (GGA-PBE) of a geometry-optimized Pm2Er3Tm9 structure.

## Properties
symmetry: P-1, No. 2
electronic total energy: -62.8 eV per cell

abc: 3.5164 24.2943 16.6130
angles: 21.60 58.79 66.11
Sites, in units of the cell vectors:
1 Pm 0.7132 0.3490 0.5090
2 Pm 0.2868 0.6510 0.4910
3 Er 0.0000 0.0000 0.0000
4 Er 0.6120 0.2442 0.4568
5 Er 0.3880 0.7558 0.5432
6 Tm 0.0000 0.5000 0.5000
7 Tm 0.8866 0.8861 0.9559
8 Tm 0.1134 0.1139 0.0441
9 Tm 0.3471 0.6981 0.0154
10 Tm 0.6529 0.3019 0.9846
11 Tm 0.9880 0.9564 0.4604
12 Tm 0.0120 0.0436 0.5396
13 Tm 0.7073 0.3951 0.0501
14 Tm 0.2927 0.6049 0.9499



The following is a DFT calculation (GGA-PBE) of a geometry-optimized CoSi3 structure.

## Properties
symmetry: I4/mmm, No. 139
formation energy from raw total energies: 0.12 eV/atom
electronic total energy: -45.8 eV per cell

abc: 9.3734 9.3734 9.3734
angles: 158.74 158.74 30.24
Sites, in units of the cell vectors:
1 Co 0.6674 0.6674 0.0000
2 Co 0.3326 0.3326 0.0000
3 Si 0.0000 0.5000 0.5000
4 Si 0.5000 0.0000 0.5000
5 Si 0.7500 0.2500 0.5000
6 Si 0.2500 0.7500 0.5000
7 Si 0.8851 0.8851 0.0000
8 Si 0.1149 0.1149 0.0000



The following is a DFT calculation (GGA-PBE) of a geometry-optimized GeCF structure.

## Properties
symmetry: P2/m, No. 10
formation energy from raw total energies: -0.61 eV/atom
electronic total energy: -35.1 eV per cell
distance to the lowest polymorph of the same formula: 8 meV/atom

abc: 4.7387 3.3387 5.6768
angles: 90.00 101.21 90.00
Sites, in units of the cell vectors:
1 Ge 0.9032 0.0000 0.7784
2 Ge 0.0968 0.0000 0.2216
3 C 0.0377 0.5000 0.3916
4 C 0.9623 0.5000 0.6084
5 F 0.4791 0.0000 0.2354
6 F 0.5209 0.0000 0.7646



The following is a DFT calculation (GGA-PBE) of a geometry-optimized Cd2S2Cl structure.

## Properties
symmetry: P4/mbm, No. 127
formation energy from raw total energies: -0.06 eV/atom
electronic total energy: -24.5 eV per cell
distance to the lowest polymorph of the same formula: 366 meV/atom

abc: 7.7392 7.7392 3.4739
angles: 90.00 90.00 90.00
Sites, in units of the cell vectors:
1 S 0.3491 0.8491 0.0000
2 S 0.8491 0.6509 0.0000
3 S 0.6509 0.1509 0.0000
4 S 0.1509 0.3491 0.0000
5 Cl 0.0000 0.0000 0.0000
6 Cl 0.5000 0.5000 0.0000
7 Cd 0.1578 0.6578 0.5000
8 Cd 0.6578 0.8422 0.5000
9 Cd 0.8422 0.3422 0.5000
10 Cd 0.3422 0.1578 0.5000



The following is a DFT calculation (GGA-PBE) of a geometry-optimized V2P4S13 structure.

## Properties
symmetry: P-1, No. 2
formation energy from raw total energies: -0.38 eV/atom
electronic total energy: -201.6 eV per cell

abc: 9.6386 9.8984 12.1239
angles: 72.76 74.47 70.37
Last column: magnetic moment on the atom in μB.
Sites, in units of the cell vectors:
1 V 0.5968 0.0206 0.6033  1.81
2 V 0.1079 0.5092 0.1015  1.81
3 V 0.4032 0.9794 0.3967  1.81
4 V 0.8921 0.4908 0.8985  1.81
5 P 0.2509 0.5702 0.2639  0.02
6 P 0.4942 0.2539 0.3885  0.02
7 P 0.7491 0.4298 0.7361  0.02
8 P 0.2329 0.9340 0.2465  0.02
9 P 0.1289 0.2345 0.0247  0.02
10 P 0.8711 0.7655 0.9753  0.02
11 P 0.5058 0.7461 0.6115  0.02
12 P 0.7671 0.0660 0.7535  0.02
13 S 0.1574 0.0029 0.0822  0.03
14 S 0.8426 0.9971 0.9178  0.03
15 S 0.8727 0.2390 0.6660  0.01
16 S 0.9353 0.3645 0.1076  -0.03
17 S 0.5037 0.1750 0.2515  -0.03
18 S 0.3094 0.8034 0.5541  -0.04
19 S 0.4580 0.8677 0.2315  -0.03
20 S 0.8526 0.9217 0.6505  -0.01
21 S 0.4963 0.8250 0.7485  -0.03
22 S 0.3558 0.1539 0.5279  -0.03
23 S 0.1051 0.4476 0.3104  -0.03
24 S 0.4301 0.4878 0.3612  0.03
25 S 0.1273 0.7610 0.3340  0.01
26 S 0.0647 0.6355 0.8924  -0.03
27 S 0.5420 0.1323 0.7685  -0.03
28 S 0.6442 0.8461 0.4721  -0.03
29 S 0.6837 0.3891 0.9106  -0.01
30 S 0.6906 0.1966 0.4459  -0.04
31 S 0.7048 0.6957 0.9560  -0.06
32 S 0.1017 0.2718 0.8587  -0.02
33 S 0.8949 0.5524 0.6896  -0.03
34 S 0.3163 0.6109 0.0894  -0.01
35 S 0.8983 0.7282 0.1413  -0.02
36 S 0.2952 0.3043 0.0440  -0.06
37 S 0.5699 0.5122 0.6388  0.03
38 S 0.1474 0.0783 0.3495  -0.01



The following is a DFT calculation (GGA-PBE) of a geometry-optimized PrTa4N6 structure.

## Properties
symmetry: Cmcm, No. 63
formation energy from raw total energies: -1.15 eV/atom
electronic total energy: -229.5 eV per cell

abc: 3.1718 5.4125 15.8609
angles: 90.00 90.00 107.04
Sites, in units of the cell vectors:
1 Pr 0.6521 0.3043 0.2500
2 Pr 0.3479 0.6957 0.7500
3 Ta 0.8538 0.7076 0.5416
4 Ta 0.3964 0.7929 0.1286
5 Ta 0.1462 0.2924 0.4584
6 Ta 0.6036 0.2071 0.8714
7 Ta 0.8538 0.7076 0.9584
8 Ta 0.1462 0.2924 0.0416
9 Ta 0.6036 0.2071 0.6286
10 Ta 0.3964 0.7929 0.3714
11 N 0.5000 0.0000 0.0000
12 N 0.5000 0.0000 0.5000
13 N 0.0316 0.0633 0.3474
14 N 0.9684 0.9367 0.6526
15 N 0.9684 0.9367 0.8474
16 N 0.0316 0.0633 0.1526
17 N 0.7631 0.5262 0.4074
18 N 0.2369 0.4738 0.5926
19 N 0.2369 0.4738 0.9074
20 N 0.7631 0.5262 0.0926
21 N 0.3408 0.6815 0.2500
22 N 0.6592 0.3185 0.7500



The following is a DFT calculation (GGA-PBE) of a geometry-optimized K6Ba16Sr7 structure.

## Properties
symmetry: Fm-3m, No. 225
electronic total energy: -46.0 eV per cell

abc: 14.2618 14.2618 14.2618
angles: 60.00 60.00 60.00
Sites, in units of the cell vectors:
1 K 0.2161 0.7839 0.2161
2 K 0.7839 0.2161 0.7839
3 K 0.2161 0.7839 0.7839
4 K 0.7839 0.2161 0.2161
5 K 0.2161 0.2161 0.7839
6 K 0.7839 0.7839 0.2161
7 Ba 0.5160 0.8280 0.8280
8 Ba 0.8280 0.5160 0.8280
9 Ba 0.8280 0.8280 0.8280
10 Ba 0.8280 0.8280 0.5160
11 Ba 0.1720 0.4840 0.1720
12 Ba 0.4840 0.1720 0.1720
13 Ba 0.1720 0.1720 0.1720
14 Ba 0.1720 0.1720 0.4840
15 Ba 0.1412 0.6196 0.6196
16 Ba 0.6196 0.1412 0.6196
17 Ba 0.6196 0.6196 0.6196
18 Ba 0.6196 0.6196 0.1412
19 Ba 0.3804 0.8588 0.3804
20 Ba 0.8588 0.3804 0.3804
21 Ba 0.3804 0.3804 0.3804
22 Ba 0.3804 0.3804 0.8588
23 Sr 0.5000 0.5000 0.5000
24 Sr 0.5000 0.0000 0.5000
25 Sr 0.0000 0.5000 0.0000
26 Sr 0.5000 0.0000 0.0000
27 Sr 0.0000 0.5000 0.5000
28 Sr 0.5000 0.5000 0.0000
29 Sr 0.0000 0.0000 0.5000



The following is a DFT calculation (GGA-PBE) of a geometry-optimized Sn3RhPb structure.

## Properties
symmetry: Pm-3m, No. 221
electronic total energy: -23.0 eV per cell
distance to the lowest polymorph of the same formula: 0 meV/atom

abc: 5.1962 5.1962 5.1962
angles: 90.00 90.00 90.00
Sites, in units of the cell vectors:
1 Pb 0.5000 0.5000 0.5000
2 Rh 0.0000 0.0000 0.0000
3 Sn 0.0000 0.5000 0.0000
4 Sn 0.0000 0.0000 0.5000
5 Sn 0.5000 0.0000 0.0000